Record 1
KCu2Te: PBEsol geometry, meta-GGA SCAN.

Output
formation energy from raw total energies = 0.145 eV/atom
Fermi-level density of states = 1.88 states/eV per cell
crystal system = orthorhombic

a = 4.231 Å, b = 5.453 Å, c = 5.453 Å
α = 69.99°, β = 67.17°, γ = 67.17°
Each line ends with the local moment (μB).
Element x y z (fractional)
Cu 0.015 0.985 0.985  0.03
Cu 0.657 0.843 0.843  0.11
Te 0.331 0.169 0.169  0.14
K 0.496 0.504 0.504  0.02


Record 2
KCu2Te: PBEsol geometry, meta-GGA SCAN.

Output
formation energy from raw total energies = 0.375 eV/atom
Fermi-level density of states = 1.16 states/eV per cell
crystal system = tetragonal

a = 4.084 Å, b = 4.477 Å, c = 4.473 Å
α = 90.00°, β = 90.00°, γ = 90.00°
Element x y z (fractional)
Te 0.500 0.000 0.500
Cu 0.000 0.500 0.500
Cu 0.000 0.000 0.000
K 0.500 0.500 0.000


Record 3
KCuTe: PBEsol geometry, meta-GGA SCAN.

Output
formation energy from raw total energies = -0.667 eV/atom
crystal system = hexagonal

a = 4.394 Å, b = 4.394 Å, c = 9.972 Å
α = 90.00°, β = 90.00°, γ = 120.00°
Element x y z (fractional)
K 0.000 0.000 0.500
K 0.000 0.000 0.000
Te 0.333 0.667 0.750
Te 0.667 0.333 0.250
Cu 0.667 0.333 0.750
Cu 0.333 0.667 0.250


Record 4
KCuTe3: PBEsol geometry, meta-GGA SCAN.

Output
formation energy from raw total energies = -0.166 eV/atom
Fermi-level density of states = 3.98 states/eV per cell
crystal system = cubic

a = 5.243 Å, b = 5.243 Å, c = 5.243 Å
α = 90.00°, β = 90.00°, γ = 90.00°
Element x y z (fractional)
Cu 0.000 0.000 0.000
Te 0.500 0.000 0.000
Te 0.000 0.000 0.500
Te 0.000 0.500 0.000
K 0.500 0.500 0.500


Record 5
KCuTe2: PBEsol geometry, meta-GGA SCAN.

Output
formation energy from raw total energies = -0.512 eV/atom
Fermi-level density of states = 1.04 states/eV per cell
crystal system = monoclinic

a = 3.985 Å, b = 5.158 Å, c = 6.399 Å
α = 87.94°, β = 90.00°, γ = 90.00°
Element x y z (fractional)
Te 0.000 0.989 0.252
Te 0.000 0.011 0.748
Cu 0.500 0.000 0.500
K 0.500 0.500 0.000


Record 6
KCuTe2: PBEsol geometry, meta-GGA SCAN.

Output
formation energy from raw total energies = -0.039 eV/atom
Fermi-level density of states = 1.70 states/eV per cell
crystal system = trigonal

a = 3.731 Å, b = 3.731 Å, c = 10.227 Å
α = 79.49°, β = 79.49°, γ = 60.00°
Element x y z (fractional)
Te 0.079 0.079 0.762
Te 0.921 0.921 0.238
K 0.500 0.500 0.500
Cu 0.000 0.000 0.000


Record 7
KCu2Te: PBEsol geometry, meta-GGA SCAN.

Output
formation energy from raw total energies = 0.426 eV/atom
Fermi-level density of states = 1.27 states/eV per cell
crystal system = tetragonal

a = 4.675 Å, b = 5.025 Å, c = 4.675 Å
α = 62.28°, β = 90.00°, γ = 117.72°
Element x y z (fractional)
Cu 0.250 0.500 0.250
Cu 0.000 0.000 0.000
K 0.500 0.000 0.500
Te 0.750 0.500 0.750


Record 8
KCu2Te: PBEsol geometry, meta-GGA SCAN.

Output
formation energy from raw total energies = -0.086 eV/atom
Fermi-level density of states = 1.38 states/eV per cell
crystal system = orthorhombic

a = 4.370 Å, b = 4.930 Å, c = 5.097 Å
α = 90.00°, β = 90.00°, γ = 90.00°
Element x y z (fractional)
Cu 0.000 0.739 0.000
Cu 0.000 0.261 0.000
Te 0.500 0.000 0.000
K 0.500 0.500 0.500


Record 9
KCu2Te: PBEsol geometry, meta-GGA SCAN.

Output
formation energy from raw total energies = 0.060 eV/atom
Fermi-level density of states = 2.23 states/eV per cell
crystal system = monoclinic

a = 3.236 Å, b = 3.763 Å, c = 7.516 Å
α = 90.00°, β = 102.27°, γ = 90.00°
Element x y z (fractional)
Cu 0.220 0.000 0.068
Cu 0.749 0.500 0.126
K 0.431 0.000 0.485
Te 0.099 0.500 0.822


Record 10
KCuTe: PBEsol geometry, meta-GGA SCAN.

Output
formation energy from raw total energies = -0.661 eV/atom
crystal system = hexagonal

a = 4.386 Å, b = 4.386 Å, c = 5.031 Å
α = 90.00°, β = 90.00°, γ = 120.00°
Element x y z (fractional)
K 0.333 0.667 0.000
Te 0.667 0.333 0.500
Cu 0.000 0.000 0.500


Record 11
KTi2Cu: PBEsol geometry, meta-GGA SCAN.

Output
Fermi-level density of states = 5.88 states/eV per cell
energy of formation from the pure elements = 1084 meV per atom
crystal system = cubic

a = 4.609 Å, b = 4.609 Å, c = 4.609 Å
α = 60.00°, β = 60.00°, γ = 60.00°
Element x y z (fractional)
Ti 0.250 0.250 0.250
Ti 0.750 0.750 0.750
K 0.000 0.000 0.000
Cu 0.500 0.500 0.500


Record 12
KTiCu3: PBEsol geometry, meta-GGA SCAN.

Output
Fermi-level density of states = 2.36 states/eV per cell
energy of formation from the pure elements = 898 meV per atom
crystal system = cubic

a = 4.815 Å, b = 4.815 Å, c = 4.815 Å
α = 90.00°, β = 90.00°, γ = 90.00°
Each line ends with the local moment (μB).
Element x y z (fractional)
Ti 0.000 0.000 0.000  1.08
Cu 0.500 0.000 0.000  0.00
Cu 0.000 0.500 0.000  0.00
Cu 0.000 0.000 0.500  0.00
K 0.500 0.500 0.500  0.00